Density functional theory data (PBE-GGA) for CeTmInOs after structural relaxation.

Lattice parameters (Å, degrees): 5.0692 5.0692 5.0692 60.00 60.00 60.00
Site moments in Bohr magnetons follow the coordinates.
Atoms (fractional coordinates):
Tm 0.7500 0.7500 0.7500  0.01
Os 0.5000 0.5000 0.5000  -0.01
Ce 0.2500 0.2500 0.2500  0.29
In 0.0000 0.0000 0.0000  0.01

**Size of the total moment**: 0.337 μB per cell
**Space-group type**: F-43m, No. 216
**Calculated formation energy**: -0.7 eV/f.u.
**E above lowest polymorph**: 0.2102 eV per atom

***

Density functional theory data (PBE-GGA) for KPr2B2S6 after structural relaxation.

Lattice parameters (Å, degrees): 7.3470 7.2022 5.7768 106.67 79.49 72.66
Atoms (fractional coordinates):
K 0.5000 0.0000 0.5000
Pr 0.8068 0.4055 0.7598
Pr 0.1932 0.5945 0.2402
B 0.2430 0.7327 0.7840
B 0.7570 0.2673 0.2160
S 0.4353 0.7508 0.9449
S 0.8169 0.5104 0.2877
S 0.1152 0.9326 0.6767
S 0.1831 0.4896 0.7123
S 0.8848 0.0674 0.3233
S 0.5647 0.2492 0.0551

**Size of the total moment**: 0.000 μB per cell
**Space-group type**: P-1, No. 2
**Energy relative to the elements, uncorrected**: -12.65 eV/f.u.

***

Density functional theory data (PBE-GGA) for NbMoP2 after structural relaxation.

Lattice parameters (Å, degrees): 3.6706 3.6706 5.8385 71.68 71.68 60.00
Site moments in Bohr magnetons follow the coordinates.
Atoms (fractional coordinates):
P 0.2543 0.2543 0.2370  -0.01
P 0.7457 0.7457 0.7630  -0.01
Mo 0.0000 0.0000 0.0000  0.88
Nb 0.5000 0.5000 0.5000  0.01

**Size of the total moment**: 0.955 μB per cell
**Space-group type**: R-3m, No. 166
**Calculated formation energy**: -1.2 eV/f.u.
**E above lowest polymorph**: 0.2849 eV per atom

***

Density functional theory data (PBE-GGA) for La5Mo after structural relaxation.

Lattice parameters (Å, degrees): 6.4292 6.4292 6.4292 58.99 58.99 58.99
Atoms (fractional coordinates):
La 0.0974 0.9026 0.5000
La 0.5000 0.0974 0.9026
La 0.9026 0.5000 0.0974
La 0.3571 0.3571 0.3571
La 0.6429 0.6429 0.6429
Mo 0.0000 0.0000 0.0000

**Size of the total moment**: 0.001 μB per cell
**Space-group type**: R32, No. 155
**Calculated formation energy**: 2.0 eV/f.u.
**E above lowest polymorph**: 0.0450 eV per atom

***

| no. | calculated density (g/cm³) |
| --- | --- |
| 1 | 11.1 |
| 2 | 3.3 |
| 3 | 6.6 |
| 4 | 7.2 |